Version w
VASP calculation (PBE) on an optimized crystal structure of RbCu2P.

a = 4.1449 Å, b = 4.1449 Å, c = 18.1935 Å
α = 90.00°, β = 90.00°, γ = 120.00°
With the nearest neighbours (Å) after each atom.
Space group R-3m (No. 166, hexagonal axes)
Inequivalent atoms, fractional coordinates:
Rb 0.0000 0.0000 0.0000 (multiplicity 3)  2 Cu 3.27
Cu 0.0000 0.0000 0.1796 (multiplicity 6)  3 P 2.40, 3 Cu 2.44
P 0.0000 0.0000 0.5000 (multiplicity 3)  6 Cu 2.40


Version x
VASP calculation (PBE) on an optimized crystal structure of RbCu2P.

a = 6.7139 Å, b = 6.7139 Å, c = 6.7139 Å
α = 90.00°, β = 90.00°, γ = 90.00°
With the nearest neighbours (Å) after each atom.
Space group Fm-3m (No. 225)
Inequivalent atoms, fractional coordinates:
Rb 0.0000 0.0000 0.0000 (multiplicity 4)  8 Cu 2.91
Cu 0.2500 0.2500 0.2500 (multiplicity 8)  4 Rb 2.91, 4 P 2.91
P 0.0000 0.0000 0.5000 (multiplicity 4)  8 Cu 2.91


Version y
VASP calculation (PBE) on an optimized crystal structure of RbCu2P.

a = 5.4946 Å, b = 5.4946 Å, c = 13.8328 Å
α = 90.00°, β = 90.00°, γ = 90.00°
With the nearest neighbours (Å) after each atom.
Space group I4_1/amd (No. 141, origin choice 2)
Inequivalent atoms, fractional coordinates:
Rb 0.0000 0.2500 0.3750 (multiplicity 4)  8 Cu 3.52, 4 P 3.89
Cu 0.0000 0.0000 0.0000 (multiplicity 8)  2 P 2.21
P 0.0000 0.2500 0.8750 (multiplicity 4)  4 Cu 2.21


The least stable of them is version x.


Version w
VASP calculation (PBE) on an optimized crystal structure of RbCuP2.

a = 6.8897 Å, b = 6.8897 Å, c = 6.8897 Å
α = 90.00°, β = 90.00°, γ = 90.00°
With the nearest neighbours (Å) after each atom.
Space group Fm-3m (No. 225)
Inequivalent atoms, fractional coordinates:
Rb 0.0000 0.0000 0.0000 (multiplicity 4)  8 P 2.98
Cu 0.0000 0.0000 0.5000 (multiplicity 4)  8 P 2.98
P 0.2500 0.2500 0.2500 (multiplicity 8)  4 Rb 2.98, 4 Cu 2.98


Version x
VASP calculation (PBE) on an optimized crystal structure of RbCuP2.

a = 4.9446 Å, b = 4.9446 Å, c = 15.7820 Å
α = 90.00°, β = 90.00°, γ = 90.00°
With the nearest neighbours (Å) after each atom.
Space group I4_1/amd (No. 141, origin choice 2)
Inequivalent atoms, fractional coordinates:
Rb 0.0000 0.2500 0.3750 (multiplicity 4)  8 P 3.40, 4 Cu 3.50
Cu 0.0000 0.2500 0.8750 (multiplicity 4)  4 P 2.33
P 0.0000 0.0000 0.0000 (multiplicity 8)  2 Cu 2.33, 2 P 2.47


The least stable of them is version w.


Version w
VASP calculation (PBE) on an optimized crystal structure of CuReP.

a = 2.8757 Å, b = 2.8757 Å, c = 5.8495 Å
α = 90.00°, β = 90.00°, γ = 120.00°
With the nearest neighbours (Å) after each atom.
Space group P3m1 (No. 156)
Inequivalent atoms, fractional coordinates:
Cu 0.0000 0.0000 0.0000 (multiplicity 1)  3 P 2.56, 3 Re 2.74
Re 0.3333 0.6667 0.6273 (multiplicity 1)  3 P 2.39
P 0.6667 0.3333 0.3325 (multiplicity 1)  3 Re 2.39, 3 Cu 2.56


Version x
VASP calculation (PBE) on an optimized crystal structure of CuReP.

a = 3.9790 Å, b = 3.9790 Å, c = 3.0600 Å
α = 90.00°, β = 90.00°, γ = 120.00°
With the nearest neighbours (Å) after each atom.
Space group P-6m2 (No. 187)
Inequivalent atoms, fractional coordinates:
Cu 0.0000 0.0000 0.0000 (multiplicity 1)  6 P 2.76, 6 Re 2.76, 2 Cu 3.06
Re 0.3333 0.6667 0.5000 (multiplicity 1)  3 P 2.30
P 0.6667 0.3333 0.5000 (multiplicity 1)  3 Re 2.30


Version y
VASP calculation (PBE) on an optimized crystal structure of CuReP.

a = 5.6879 Å, b = 5.6879 Å, c = 5.6879 Å
α = 90.00°, β = 90.00°, γ = 90.00°
With the nearest neighbours (Å) after each atom.
Space group F-43m (No. 216)
Inequivalent atoms, fractional coordinates:
Cu 0.0000 0.0000 0.0000 (multiplicity 4)  4 Re 2.46
Re 0.2500 0.2500 0.7500 (multiplicity 4)  4 Cu 2.46, 4 P 2.46
P 0.0000 0.0000 0.5000 (multiplicity 4)  4 Re 2.46


Version z
VASP calculation (PBE) on an optimized crystal structure of CuReP.

a = 2.9993 Å, b = 2.9993 Å, c = 8.8171 Å
α = 90.00°, β = 90.00°, γ = 90.00°
With the nearest neighbours (Å) after each atom.
Space group I4mm (No. 107)
Inequivalent atoms, fractional coordinates:
Cu 0.0000 0.0000 0.0000 (multiplicity 2)  4 P 2.57, 5 Re 2.69-2.73
Re 0.0000 0.0000 0.3050 (multiplicity 2)  4 P 2.45, 5 Cu 2.69-2.73
P 0.0000 0.0000 0.6648 (multiplicity 2)  4 Re 2.45, 4 Cu 2.57


The least stable of them is version y.


Version w
VASP calculation (PBE) on an optimized crystal structure of CuReP.

a = 5.5303 Å, b = 5.5303 Å, c = 5.5303 Å
α = 90.00°, β = 90.00°, γ = 90.00°
With the nearest neighbours (Å) after each atom.
Space group F-43m (No. 216)
Inequivalent atoms, fractional coordinates:
Cu 0.0000 0.0000 0.0000 (multiplicity 4)  4 P 2.39
Re 0.0000 0.0000 0.5000 (multiplicity 4)  4 P 2.39
P 0.2500 0.2500 0.2500 (multiplicity 4)  4 Re 2.39, 4 Cu 2.39


Version x
VASP calculation (PBE) on an optimized crystal structure of CuReP.

a = 3.1249 Å, b = 3.1249 Å, c = 8.3223 Å
α = 90.00°, β = 90.00°, γ = 90.00°
With the nearest neighbours (Å) after each atom.
Space group P4/nmm (No. 129, origin choice 2)
Inequivalent atoms, fractional coordinates:
Cu 0.2500 0.7500 0.0000 (multiplicity 2)  4 Cu 2.21
Re 0.2500 0.2500 0.3829 (multiplicity 2)  4 P 2.49
P 0.2500 0.2500 0.7542 (multiplicity 2)  4 Re 2.49, 4 Cu 2.57


The least stable of them is version x.


Version w
VASP calculation (PBE) on an optimized crystal structure of CuReP2S.

a = 4.6469 Å, b = 4.6469 Å, c = 4.6188 Å
α = 90.00°, β = 90.00°, γ = 90.00°
With the nearest neighbours (Å) after each atom.
Space group P4/mmm (No. 123)
Inequivalent atoms, fractional coordinates:
Cu 0.0000 0.0000 0.0000 (multiplicity 1)  8 P 3.28, 4 S 3.29
Re 0.5000 0.5000 0.5000 (multiplicity 1)  2 S 2.31, 4 P 2.32
P 0.0000 0.5000 0.5000 (multiplicity 2)  2 Re 2.32
S 0.5000 0.5000 0.0000 (multiplicity 1)  2 Re 2.31


Version x
VASP calculation (PBE) on an optimized crystal structure of CuReP2S.

a = 4.3523 Å, b = 4.3523 Å, c = 4.4331 Å
α = 90.00°, β = 90.00°, γ = 90.00°
With the nearest neighbours (Å) after each atom.
Space group P4/mmm (No. 123)
Inequivalent atoms, fractional coordinates:
Cu 0.0000 0.0000 0.0000 (multiplicity 1)  4 P 2.18, 2 S 2.22
Re 0.5000 0.5000 0.5000 (multiplicity 1)  4 S 3.08, 8 P 3.11
P 0.0000 0.5000 0.0000 (multiplicity 2)  2 Cu 2.18
S 0.0000 0.0000 0.5000 (multiplicity 1)  2 Cu 2.22


The least stable of them is version x.


Version w
VASP calculation (PBE) on an optimized crystal structure of SrCu2ReP.

a = 4.8519 Å, b = 4.8519 Å, c = 4.5113 Å
α = 90.00°, β = 90.00°, γ = 90.00°
With the nearest neighbours (Å) after each atom.
Space group P4/mmm (No. 123)
Inequivalent atoms, fractional coordinates:
Sr 0.0000 0.0000 0.0000 (multiplicity 1)  8 Cu 3.31, 4 P 3.43
Cu 0.0000 0.5000 0.5000 (multiplicity 2)  2 Re 2.43
Re 0.5000 0.5000 0.5000 (multiplicity 1)  2 P 2.26, 4 Cu 2.43
P 0.5000 0.5000 0.0000 (multiplicity 1)  2 Re 2.26


Version x
VASP calculation (PBE) on an optimized crystal structure of SrCu2ReP.

a = 4.5644 Å, b = 4.5644 Å, c = 4.5647 Å
α = 90.00°, β = 90.00°, γ = 90.00°
With the nearest neighbours (Å) after each atom.
Space group P4/mmm (No. 123)
Inequivalent atoms, fractional coordinates:
Sr 0.0000 0.0000 0.0000 (multiplicity 1)  4 Re 3.23, 8 Cu 3.23
Cu 0.0000 0.5000 0.5000 (multiplicity 2)  2 P 2.28
Re 0.5000 0.5000 0.0000 (multiplicity 1)  2 P 2.28
P 0.5000 0.5000 0.5000 (multiplicity 1)  4 Cu 2.28, 2 Re 2.28


The least stable of them is version x.


Version w
VASP calculation (PBE) on an optimized crystal structure of ZrCuRe2P.

a = 4.3686 Å, b = 4.3686 Å, c = 4.8089 Å
α = 90.00°, β = 90.00°, γ = 90.00°
With the nearest neighbours (Å) after each atom.
Space group P4/mmm (No. 123)
Inequivalent atoms, fractional coordinates:
Zr 0.0000 0.0000 0.0000 (multiplicity 1)  2 P 2.40
Cu 0.5000 0.5000 0.0000 (multiplicity 1)  4 Zr 3.09, 8 Re 3.25
Re 0.0000 0.5000 0.5000 (multiplicity 2)  2 P 2.18
P 0.0000 0.0000 0.5000 (multiplicity 1)  4 Re 2.18, 2 Zr 2.40


Version x
VASP calculation (PBE) on an optimized crystal structure of ZrCuRe2P.

a = 4.9144 Å, b = 4.9144 Å, c = 4.8625 Å
α = 90.00°, β = 90.00°, γ = 90.00°
With the nearest neighbours (Å) after each atom.
Space group P4/mmm (No. 123)
Inequivalent atoms, fractional coordinates:
Zr 0.0000 0.0000 0.0000 (multiplicity 1)  2 P 2.43, 4 Re 2.46
Cu 0.5000 0.5000 0.5000 (multiplicity 1)  8 Re 3.46, 4 P 3.48
Re 0.0000 0.5000 0.0000 (multiplicity 2)  2 Zr 2.46
P 0.0000 0.0000 0.5000 (multiplicity 1)  2 Zr 2.43


The least stable of them is version x.


Version w
VASP calculation (PBE) on an optimized crystal structure of Cu3PRh.

a = 4.5853 Å, b = 4.5853 Å, c = 4.5853 Å
α = 90.00°, β = 90.00°, γ = 90.00°
With the nearest neighbours (Å) after each atom.
Space group Pm-3m (No. 221)
Inequivalent atoms, fractional coordinates:
Cu 0.0000 0.0000 0.5000 (multiplicity 3)  2 Rh 2.29
P 0.5000 0.5000 0.5000 (multiplicity 1)  12 Cu 3.24
Rh 0.0000 0.0000 0.0000 (multiplicity 1)  6 Cu 2.29


Version x
VASP calculation (PBE) on an optimized crystal structure of Cu3PRh.

a = 4.2322 Å, b = 4.2322 Å, c = 4.2322 Å
α = 90.00°, β = 90.00°, γ = 90.00°
With the nearest neighbours (Å) after each atom.
Space group Pm-3m (No. 221)
Inequivalent atoms, fractional coordinates:
Cu 0.0000 0.0000 0.5000 (multiplicity 3)  2 P 2.12
P 0.0000 0.0000 0.0000 (multiplicity 1)  6 Cu 2.12
Rh 0.5000 0.5000 0.5000 (multiplicity 1)  12 Cu 2.99


The least stable of them is version w.